(1)
Here is crystalline Cr3Re5 at its relaxed geometry from Alexandria via LeMat-Bulk. Energies are from PBE-GGA.

**Space-group type**: P6_3/mcm, No. 193
**DFT formation energy**: 0.219 eV/atom

a b c (Å): 7.2137 7.2137 4.9865
angles (deg): 90.00 90.00 120.00
With the nearest neighbours (Å) after each atom.
Atoms (fractional coordinates):
Cr  0.0000  0.5859  0.7500  7 Re 2.50-2.59, 2 Cr 2.78
Cr  0.4141  0.4141  0.7500  7 Re 2.50-2.59, 2 Cr 2.78
Cr  0.5859  0.0000  0.7500  7 Re 2.50-2.59, 2 Cr 2.78
Cr  0.5859  0.5859  0.2500  7 Re 2.50-2.59, 2 Cr 2.78
Cr  0.0000  0.4141  0.2500  7 Re 2.50-2.59, 2 Cr 2.78
Cr  0.4142  0.0000  0.2500  7 Re 2.50-2.59, 2 Cr 2.78
Re  0.2327  0.0000  0.7500  5 Cr 2.55-2.82
Re  0.6667  0.3333  0.5000  2 Re 2.49, 6 Cr 2.50
Re  0.3333  0.6667  0.5000  2 Re 2.49, 6 Cr 2.50
Re  0.3333  0.6667  0.0000  2 Re 2.49, 6 Cr 2.50
Re  0.7673  0.0000  0.2500  5 Cr 2.55-2.82
Re  0.2327  0.2327  0.2500  5 Cr 2.55-2.82
Re  0.7673  0.7673  0.7500  5 Cr 2.55-2.82
Re  0.0000  0.2327  0.7500  5 Cr 2.55-2.82
Re  0.6667  0.3333  0.0000  2 Re 2.49, 6 Cr 2.50
Re  0.0000  0.7673  0.2500  5 Cr 2.55-2.82

=====

(2)
Here is crystalline Cr2Re at its relaxed geometry from Alexandria via LeMat-Bulk. Energies are from PBE-GGA.

**Space-group type**: P-62m, No. 189
**DFT formation energy**: 0.558 eV/atom

a b c (Å): 5.9669 5.9669 4.0741
angles (deg): 90.00 90.00 120.00
With the nearest neighbours (Å) after each atom.
Atoms (fractional coordinates):
Re  0.3333  0.6667  0.0000  3 Cr 2.31
Re  0.0000  0.0000  0.5000  9 Cr 2.49-2.60
Re  0.6667  0.3333  0.0000  3 Cr 2.31
Cr  0.5651  0.0000  0.5000  5 Re 2.60-2.70, 2 Cr 2.81
Cr  0.2409  0.0000  0.0000  4 Re 2.31-2.49, 2 Cr 2.49
Cr  0.4349  0.4349  0.5000  5 Re 2.60-2.70, 2 Cr 2.81
Cr  0.0000  0.5651  0.5000  5 Re 2.60-2.70, 2 Cr 2.81
Cr  0.7591  0.7591  0.0000  4 Re 2.31-2.49, 2 Cr 2.49
Cr  0.0000  0.2409  0.0000  4 Re 2.31-2.49, 2 Cr 2.49

=====

(3)
Here is crystalline Cr3Re2 at its relaxed geometry from Alexandria via LeMat-Bulk. Energies are from PBE-GGA.

**Space-group type**: R-3m, No. 166
**DFT formation energy**: 0.273 eV/atom

a b c (Å): 10.5218 10.5218 10.5218
angles (deg): 14.87 14.87 14.87
With the nearest neighbours (Å) after each atom.
Atoms (fractional coordinates):
Re  0.5982  0.5982  0.5982  6 Cr 2.65-2.66, 6 Re 2.72
Re  0.4018  0.4018  0.4018  6 Cr 2.65-2.66, 6 Re 2.72
Cr  0.1959  0.1959  0.1959  3 Cr 2.41, 3 Re 2.66
Cr  0.8041  0.8041  0.8041  3 Cr 2.41, 3 Re 2.66
Cr  0.0000  0.0000  0.0000  6 Re 2.65, 6 Cr 2.72

=====

(4)
Here is crystalline CrRe at its relaxed geometry from Alexandria via LeMat-Bulk. Energies are from PBE-GGA.

**Space-group type**: P6_3/mmc, No. 194
**DFT formation energy**: 0.764 eV/atom

a b c (Å): 3.8462 3.8462 4.6837
angles (deg): 90.00 90.00 120.00
With the nearest neighbours (Å) after each atom.
Atoms (fractional coordinates):
Re  0.6667  0.3333  0.7500  6 Cr 2.51
Re  0.3333  0.6667  0.2500  6 Cr 2.51
Cr  0.0000  0.0000  0.5000  2 Cr 2.34, 6 Re 2.51
Cr  0.0000  0.0000  0.0000  2 Cr 2.34, 6 Re 2.51

=====

(5)
Here is crystalline CrRe at its relaxed geometry from Alexandria via LeMat-Bulk. Energies are from PBE-GGA.

**Space-group type**: Amm2, No. 38
**DFT formation energy**: 0.703 eV/atom

a b c (Å): 4.1868 4.8276 5.1130
angles (deg): 118.17 90.00 90.00
With the nearest neighbours (Å) after each atom.
Atoms (fractional coordinates):
Cr  0.0000  0.5761  0.0000  2 Cr 2.32, 2 Re 2.39-2.44
Cr  0.0000  0.1804  0.5115  3 Cr 2.32-2.42, 3 Re 2.43-2.46
Cr  0.0000  0.6689  0.4885  3 Cr 2.32-2.42, 3 Re 2.43-2.46
Re  0.0000  0.0813  0.0000  4 Cr 2.39-2.44
Re  0.5000  0.5958  0.7003  6 Cr 2.46-2.74, 1 Re 2.70
Re  0.5000  0.8955  0.2997  6 Cr 2.46-2.74, 1 Re 2.70

=====

(6)
Here is crystalline CrRe at its relaxed geometry from Alexandria via LeMat-Bulk. Energies are from PBE-GGA.

**Space-group type**: P6_3/m, No. 176
**DFT formation energy**: 0.514 eV/atom

a b c (Å): 6.9671 6.9671 4.2544
angles (deg): 90.00 90.00 120.00
With the nearest neighbours (Å) after each atom.
Atoms (fractional coordinates):
Re  0.4962  0.4027  0.7500  4 Re 2.51-2.58, 4 Cr 2.65-2.79
Re  0.9065  0.5038  0.7500  4 Re 2.51-2.58, 4 Cr 2.65-2.79
Re  0.5973  0.0935  0.7500  4 Re 2.51-2.58, 4 Cr 2.65-2.79
Re  0.4027  0.9065  0.2500  4 Re 2.51-2.58, 4 Cr 2.65-2.79
Re  0.5038  0.5973  0.2500  4 Re 2.51-2.58, 4 Cr 2.65-2.79
Re  0.0935  0.4962  0.2500  4 Re 2.51-2.58, 4 Cr 2.65-2.79
Cr  0.1640  0.9422  0.7500  6 Cr 2.40-2.54, 2 Re 2.65-2.66
Cr  0.9422  0.7782  0.2500  6 Cr 2.40-2.54, 2 Re 2.65-2.66
Cr  0.7782  0.8360  0.7500  6 Cr 2.40-2.54, 2 Re 2.65-2.66
Cr  0.0578  0.2218  0.7500  6 Cr 2.40-2.54, 2 Re 2.65-2.66
Cr  0.2218  0.1640  0.2500  6 Cr 2.40-2.54, 2 Re 2.65-2.66
Cr  0.8360  0.0578  0.2500  6 Cr 2.40-2.54, 2 Re 2.65-2.66

=====

(7)
Here is crystalline Cr5Re at its relaxed geometry from Alexandria via LeMat-Bulk. Energies are from PBE-GGA.

**Space-group type**: Cmmm, No. 65
**DFT formation energy**: 0.012 eV/atom

a b c (Å): 2.9142 6.2910 4.1202
angles (deg): 90.00 90.00 76.61
With the nearest neighbours (Å) after each atom.
Atoms (fractional coordinates):
Re  0.8611  0.2777  0.5000  8 Cr 2.52-2.55
Cr  0.6924  0.6152  0.0000  8 Cr 2.47-2.53
Cr  0.5322  0.9357  0.5000  6 Cr 2.42-2.52, 2 Re 2.55
Cr  0.3611  0.2779  0.0000  4 Re 2.52, 4 Cr 2.53
Cr  0.0299  0.9402  0.0000  8 Cr 2.47-2.53
Cr  0.1900  0.6199  0.5000  6 Cr 2.42-2.52, 2 Re 2.55

=====

(8)
Here is crystalline CrReRh at its relaxed geometry from Alexandria via LeMat-Bulk. Energies are from PBE-GGA.

**Space-group type**: F-43m, No. 216
**DFT formation energy**: 0.839 eV/atom

a b c (Å): 5.8954 5.8954 5.8954
angles (deg): 90.00 90.00 90.00
With the nearest neighbours (Å) after each atom.
Atoms (fractional coordinates):
Cr  0.5000  0.5000  0.0000  4 Rh 2.55
Cr  0.0000  0.0000  0.0000  4 Rh 2.55
Cr  0.0000  0.5000  0.5000  4 Rh 2.55
Cr  0.5000  0.0000  0.5000  4 Rh 2.55
Rh  0.7500  0.2500  0.7500  4 Cr 2.55, 4 Re 2.55
Rh  0.7500  0.7500  0.2500  4 Re 2.55, 4 Cr 2.55
Rh  0.2500  0.2500  0.2500  4 Cr 2.55, 4 Re 2.55
Rh  0.2500  0.7500  0.7500  4 Cr 2.55, 4 Re 2.55
Re  0.5000  0.5000  0.5000  4 Rh 2.55
Re  0.5000  0.0000  0.0000  4 Rh 2.55
Re  0.0000  0.0000  0.5000  4 Rh 2.55
Re  0.0000  0.5000  0.0000  4 Rh 2.55